Entry 1:
A relaxed structure of NiPdPt, computed with GGA-PBE.

```
NiPdPt
1.0
4.286 0.000 0.000
-2.143 3.712 0.000
0.000 0.000 2.701
Ni Pd Pt
1 1 1
direct
0.000 0.000 0.000 Ni
0.667 0.333 0.712 Pd
0.333 0.667 0.257 Pt
```

* ΔE_f: 0.058 eV per atom
* magnetic moment: 1.07 μB/cell
* polymorph energy (0 for the lowest one): 0.0825 eV per atom


Entry 2:
A relaxed structure of VH4, computed with GGA-PBE.

```
VH4
1.0
3.385 0.000 0.000
0.000 3.385 0.000
0.000 0.000 3.385
V H
1 4
direct
0.000 0.000 0.000 V
0.000 0.000 0.500 H
0.000 0.500 0.000 H
0.500 0.000 0.000 H
0.500 0.500 0.500 H
```

* electronic total energy: -0.2821 Ry per atom
* magnetic moment: 1.38 μB/cell


Entry 3:
A relaxed structure of Ac2PmNd4Sm, computed with GGA-PBE.

```
Ac2PmNd4Sm
1.0
6.521 0.000 0.000
0.000 3.770 0.000
-2.220 0.000 12.160
Ac Pm Nd Sm
2 1 4 1
direct
0.000 0.000 0.000 Ac
0.500 0.500 0.000 Ac
0.000 0.500 0.500 Pm
0.247 0.000 0.743 Nd
0.253 0.500 0.258 Nd
0.747 0.500 0.742 Nd
0.753 0.000 0.257 Nd
0.500 0.000 0.500 Sm
```

* ΔE_f: 0.038 eV per atom
* magnetic moment: 0.00 μB/cell


Entry 4:
A relaxed structure of Re2PBr, computed with GGA-PBE.

```
Re2PBr
1.0
4.252 0.000 0.000
0.000 2.969 0.000
-2.108 0.000 4.767
Re P Br
2 1 1
direct
0.000 0.000 0.000 Re
0.000 0.500 0.500 Re
0.500 0.000 0.500 P
0.500 0.500 0.000 Br
```

* ΔE_f (raw): 0.83 eV/atom
* magnetic moment: 0.00 μB/cell
* polymorph energy (0 for the lowest one): 0.5273 eV per atom


Entry 5:
A relaxed structure of LiTbTl2, computed with GGA-PBE.

```
LiTbTl2
1.0
1.812 1.046 9.210
-1.812 1.046 9.210
0.000 -2.093 9.210
Li Tb Tl
1 1 2
direct
0.000 0.000 0.000 Li
0.833 0.833 0.833 Tb
0.259 0.259 0.259 Tl
0.407 0.407 0.407 Tl
```

* ΔE_f: -0.156 eV per atom
* magnetic moment: 0.00 μB/cell


Entry 6:
A relaxed structure of ThAlBOs2, computed with GGA-PBE.

```
ThAlBOs2
1.0
2.088 -5.653 0.000
2.088 5.653 0.000
0.000 0.000 7.257
Th Al B Os
2 2 2 4
direct
0.057 0.943 0.750 Th
0.943 0.057 0.250 Th
0.224 0.776 0.250 Al
0.776 0.224 0.750 Al
0.500 0.500 0.000 B
0.500 0.500 0.500 B
0.329 0.671 0.563 Os
0.329 0.671 0.937 Os
0.671 0.329 0.063 Os
0.671 0.329 0.437 Os
```

* ΔE_f: -0.407 eV per atom
* magnetic moment: 0.00 μB/cell


Entry 7:
A relaxed structure of Tl2RhCl, computed with GGA-PBE.

```
Tl2RhCl
1.0
3.754 0.000 0.000
0.000 3.877 0.000
0.000 0.000 7.550
Tl Rh Cl
2 1 1
direct
0.000 0.000 0.000 Tl
0.500 0.500 0.400 Tl
0.500 0.500 0.042 Rh
0.000 0.000 0.590 Cl
```

* ΔE_f (raw): -0.16 eV/atom
* magnetic moment: 0.00 μB/cell
* polymorph energy (0 for the lowest one): 0.0134 eV per atom


Entry 8:
A relaxed structure of La3PrNi2, computed with GGA-PBE.

```
La3PrNi2
1.0
6.418 -3.600 0.000
6.418 3.600 0.000
-2.298 0.000 7.356
La Pr Ni
6 2 4
direct
0.240 0.760 0.750 La
0.275 0.276 0.888 La
0.276 0.275 0.388 La
0.724 0.725 0.612 La
0.725 0.724 0.112 La
0.760 0.240 0.250 La
0.247 0.753 0.250 Pr
0.753 0.247 0.750 Pr
0.110 0.111 0.055 Ni
0.111 0.110 0.555 Ni
0.889 0.890 0.445 Ni
0.890 0.889 0.945 Ni
```

* ΔE_f: -0.212 eV per atom
* magnetic moment: 0.00 μB/cell


Entry 9:
A relaxed structure of SrLi2Pb2Au, computed with GGA-PBE.

```
SrLi2Pb2Au
1.0
-2.370 2.370 7.684
2.370 -2.370 7.684
2.370 2.370 -7.684
Sr Li Pb Au
1 2 2 1
direct
0.000 0.000 0.000 Sr
0.346 0.346 0.000 Li
0.654 0.654 0.000 Li
0.250 0.750 0.500 Pb
0.750 0.250 0.500 Pb
0.500 0.500 0.000 Au
```

* ΔE_f: -0.238 eV per atom
* magnetic moment: 0.00 μB/cell


Entry 10:
A relaxed structure of YZn2Ru, computed with GGA-PBE.

```
YZn2Ru
1.0
-2.045 2.045 4.120
2.045 -2.045 4.120
2.045 2.045 -4.120
Y Zn Ru
1 2 1
direct
0.000 0.000 0.000 Y
0.250 0.750 0.500 Zn
0.750 0.250 0.500 Zn
0.500 0.500 0.000 Ru
```

* ΔE_f: -0.277 eV per atom
* magnetic moment: 0.00 μB/cell


Entry 11:
A relaxed structure of TaBeB, computed with GGA-PBE.

```
TaBeB
1.0
-1.609 3.287 2.844
1.609 -3.287 2.844
1.609 3.287 -2.844
Ta Be B
2 2 2
direct
0.000 0.000 0.000 Ta
0.500 0.000 0.500 Ta
0.407 0.657 0.750 Be
0.593 0.343 0.250 Be
0.075 0.325 0.750 B
0.925 0.675 0.250 B
```

* ΔE_f: -0.582 eV per atom
* magnetic moment: 0.00 μB/cell
* polymorph energy (0 for the lowest one): 0.1038 eV per atom


Entry 12:
A relaxed structure of SrTa2Hg, computed with GGA-PBE.

```
SrTa2Hg
1.0
-2.114 2.114 5.127
2.114 -2.114 5.127
2.114 2.114 -5.127
Sr Ta Hg
1 2 1
direct
0.000 0.000 0.000 Sr
0.250 0.750 0.500 Ta
0.750 0.250 0.500 Ta
0.500 0.500 0.000 Hg
```

* ΔE_f: 0.842 eV per atom
* magnetic moment: 0.00 μB/cell


Question: Which value of magnetic moment does entry 9 give?
Answer: 0.00 μB/cell